# 1
Ca5Ta4: optimized geometry, PBE-GGA.

Energy above the most stable polymorph in this dataset in eV per formula unit: 0.00
Calculated total energy in eV per formula unit: -52.729
Formation energy in eV per atom: 0.52
Crystal system: tetragonal
DOS(E_F) in states/eV/atom: 1.41

CIF file:
```
data_Ca5Ta4
_cell_length_a 8.3842
_cell_length_b 8.3842
_cell_length_c 8.3842
_cell_angle_alpha 92.82
_cell_angle_beta 92.82
_cell_angle_gamma 154.39
_space_group_name_H-M_alt 'P 1'
_space_group_IT_number 1
loop_
_space_group_symop_operation_xyz
'x,y,z'
loop_
_atom_site_label
_atom_site_type_symbol
_atom_site_fract_x
_atom_site_fract_y
_atom_site_fract_z
_atom_site_occupancy
Ca1 Ca 0.0000 0.0000 0.0000 1
Ca2 Ca 0.3326 0.3326 0.6653 1
Ca3 Ca 0.3326 0.6674 0.0000 1
Ca4 Ca 0.6674 0.3326 0.0000 1
Ca5 Ca 0.6674 0.6674 0.3347 1
Ta1 Ta 0.0000 0.3737 0.3737 1
Ta2 Ta 0.0000 0.6263 0.6263 1
Ta3 Ta 0.3737 0.0000 0.3737 1
Ta4 Ta 0.6263 0.0000 0.6263 1
```



# 2
Ca4Ta: optimized geometry, PBE-GGA.

Calculated total energy in eV per formula unit: -15.786
Formation energy in eV per atom: 0.81
Crystal system: cubic
DOS(E_F) in states/eV/atom: 0.58

CIF file:
```
data_Ca4Ta
_cell_length_a 7.2846
_cell_length_b 7.2846
_cell_length_c 7.2846
_cell_angle_alpha 90.00
_cell_angle_beta 90.00
_cell_angle_gamma 90.00
_space_group_name_H-M_alt 'P 1'
_space_group_IT_number 1
loop_
_space_group_symop_operation_xyz
'x,y,z'
loop_
_atom_site_label
_atom_site_type_symbol
_atom_site_fract_x
_atom_site_fract_y
_atom_site_fract_z
_atom_site_occupancy
Ca1 Ca 0.2500 0.2500 0.2500 1
Ca2 Ca 0.2500 0.2500 0.7500 1
Ca3 Ca 0.2500 0.7500 0.2500 1
Ca4 Ca 0.2500 0.7500 0.7500 1
Ca5 Ca 0.7500 0.2500 0.2500 1
Ca6 Ca 0.7500 0.2500 0.7500 1
Ca7 Ca 0.7500 0.7500 0.2500 1
Ca8 Ca 0.7500 0.7500 0.7500 1
Ta1 Ta 0.0000 0.0000 0.0000 1
Ta2 Ta 0.5000 0.5000 0.5000 1
```



# 3
Ca6Ta7: optimized geometry, PBE-GGA.

Calculated total energy in eV per formula unit: -87.595
Formation energy in eV per atom: 0.57
Crystal system: trigonal
DOS(E_F) in states/eV/atom: 1.62

CIF file:
```
data_Ca6Ta7
_cell_length_a 11.7304
_cell_length_b 11.7304
_cell_length_c 11.7304
_cell_angle_alpha 28.98
_cell_angle_beta 28.98
_cell_angle_gamma 28.98
_space_group_name_H-M_alt 'P 1'
_space_group_IT_number 1
loop_
_space_group_symop_operation_xyz
'x,y,z'
loop_
_atom_site_label
_atom_site_type_symbol
_atom_site_fract_x
_atom_site_fract_y
_atom_site_fract_z
_atom_site_occupancy
Ca1 Ca 0.0514 0.0514 0.0514 1
Ca2 Ca 0.1515 0.1515 0.1515 1
Ca3 Ca 0.3351 0.3351 0.3351 1
Ca4 Ca 0.6649 0.6649 0.6649 1
Ca5 Ca 0.8485 0.8485 0.8485 1
Ca6 Ca 0.9486 0.9486 0.9486 1
Ta1 Ta 0.1183 0.5841 0.5841 1
Ta2 Ta 0.4159 0.4159 0.8817 1
Ta3 Ta 0.4159 0.8817 0.4159 1
Ta4 Ta 0.5000 0.5000 0.5000 1
Ta5 Ta 0.5841 0.1183 0.5841 1
Ta6 Ta 0.5841 0.5841 0.1183 1
Ta7 Ta 0.8817 0.4159 0.4159 1
```



# 4
Ca4Ta5: optimized geometry, PBE-GGA.

Calculated total energy in eV per formula unit: -61.649
Formation energy in eV per atom: 0.62
Crystal system: tetragonal
DOS(E_F) in states/eV/atom: 1.22

CIF file:
```
data_Ca4Ta5
_cell_length_a 7.7761
_cell_length_b 7.7761
_cell_length_c 7.7761
_cell_angle_alpha 94.55
_cell_angle_beta 94.55
_cell_angle_gamma 147.30
_space_group_name_H-M_alt 'P 1'
_space_group_IT_number 1
loop_
_space_group_symop_operation_xyz
'x,y,z'
loop_
_atom_site_label
_atom_site_type_symbol
_atom_site_fract_x
_atom_site_fract_y
_atom_site_fract_z
_atom_site_occupancy
Ca1 Ca 0.0000 0.3080 0.3080 1
Ca2 Ca 0.0000 0.6920 0.6920 1
Ca3 Ca 0.3080 0.0000 0.3080 1
Ca4 Ca 0.6920 0.0000 0.6920 1
Ta1 Ta 0.0000 0.0000 0.0000 1
Ta2 Ta 0.3716 0.3716 0.7433 1
Ta3 Ta 0.3716 0.6284 0.0000 1
Ta4 Ta 0.6284 0.3716 0.0000 1
Ta5 Ta 0.6284 0.6284 0.2567 1
```



# 5
Ca3Ta5: optimized geometry, PBE-GGA.

Energy above the most stable polymorph in this dataset in eV per formula unit: 0.05
Calculated total energy in eV per formula unit: -59.160
Formation energy in eV per atom: 0.76
Crystal system: triclinic
DOS(E_F) in states/eV/atom: 1.01

CIF file:
```
data_Ca3Ta5
_cell_length_a 5.6478
_cell_length_b 8.7778
_cell_length_c 9.8311
_cell_angle_alpha 84.72
_cell_angle_beta 73.31
_cell_angle_gamma 71.48
_space_group_name_H-M_alt 'P 1'
_space_group_IT_number 1
loop_
_space_group_symop_operation_xyz
'x,y,z'
loop_
_atom_site_label
_atom_site_type_symbol
_atom_site_fract_x
_atom_site_fract_y
_atom_site_fract_z
_atom_site_occupancy
Ca1 Ca 0.0000 0.0000 0.0000 1
Ca2 Ca 0.0136 0.5000 0.9710 1
Ca3 Ca 0.1165 0.8867 0.3756 1
Ca4 Ca 0.5065 0.1126 0.3759 1
Ca5 Ca 0.6092 0.4994 0.7804 1
Ca6 Ca 0.6246 0.9991 0.7515 1
Ta1 Ta 0.0735 0.5000 0.3757 1
Ta2 Ta 0.1090 0.6513 0.6220 1
Ta3 Ta 0.2677 0.3475 0.6223 1
Ta4 Ta 0.3552 0.6515 0.1292 1
Ta5 Ta 0.5140 0.3477 0.1294 1
Ta6 Ta 0.5494 0.4993 0.3757 1
Ta7 Ta 0.6246 0.7323 0.5175 1
Ta8 Ta 0.7662 0.7325 0.2338 1
Ta9 Ta 0.8566 0.2668 0.5177 1
Ta10 Ta 0.9983 0.2671 0.2339 1
```



# 6
Ca4Ta: optimized geometry, PBE-GGA.

Calculated total energy in eV per formula unit: -15.785
Formation energy in eV per atom: 0.81
Crystal system: cubic
DOS(E_F) in states/eV/atom: 0.54

CIF file:
```
data_Ca4Ta
_cell_length_a 5.7530
_cell_length_b 5.7530
_cell_length_c 5.7530
_cell_angle_alpha 90.00
_cell_angle_beta 90.00
_cell_angle_gamma 90.00
_space_group_name_H-M_alt 'P 1'
_space_group_IT_number 1
loop_
_space_group_symop_operation_xyz
'x,y,z'
loop_
_atom_site_label
_atom_site_type_symbol
_atom_site_fract_x
_atom_site_fract_y
_atom_site_fract_z
_atom_site_occupancy
Ca1 Ca 0.0000 0.0000 0.0000 1
Ca2 Ca 0.0000 0.5000 0.5000 1
Ca3 Ca 0.5000 0.0000 0.5000 1
Ca4 Ca 0.5000 0.5000 0.0000 1
Ta1 Ta 0.5000 0.5000 0.5000 1
```



# 7
Ca2Ta3: optimized geometry, PBE-GGA.

Calculated total energy in eV per formula unit: -35.812
Formation energy in eV per atom: 0.75
Crystal system: trigonal
DOS(E_F) in states/eV/atom: 2.07

CIF file:
```
data_Ca2Ta3
_cell_length_a 3.0581
_cell_length_b 3.0581
_cell_length_c 41.0892
_cell_angle_alpha 90.00
_cell_angle_beta 90.00
_cell_angle_gamma 120.00
_space_group_name_H-M_alt 'P 1'
_space_group_IT_number 1
loop_
_space_group_symop_operation_xyz
'x,y,z'
loop_
_atom_site_label
_atom_site_type_symbol
_atom_site_fract_x
_atom_site_fract_y
_atom_site_fract_z
_atom_site_occupancy
Ca1 Ca 0.0000 0.0000 0.0979 1
Ca2 Ca 0.0000 0.0000 0.9021 1
Ca3 Ca 0.3333 0.6667 0.5687 1
Ca4 Ca 0.3333 0.6667 0.7646 1
Ca5 Ca 0.6667 0.3333 0.2354 1
Ca6 Ca 0.6667 0.3333 0.4313 1
Ta1 Ta 0.0000 0.0000 0.3037 1
Ta2 Ta 0.0000 0.0000 0.5000 1
Ta3 Ta 0.0000 0.0000 0.6963 1
Ta4 Ta 0.3333 0.6667 0.1667 1
Ta5 Ta 0.3333 0.6667 0.3629 1
Ta6 Ta 0.3333 0.6667 0.9704 1
Ta7 Ta 0.6667 0.3333 0.0296 1
Ta8 Ta 0.6667 0.3333 0.6371 1
Ta9 Ta 0.6667 0.3333 0.8333 1
```



# 8
CaTa4: optimized geometry, PBE-GGA.

Energy above the most stable polymorph in this dataset in eV per formula unit: 1.22
Calculated total energy in eV per formula unit: -36.896
Formation energy in eV per atom: 2.50
Crystal system: cubic
DOS(E_F) in states/eV/atom: 1.46

CIF file:
```
data_CaTa4
_cell_length_a 4.6902
_cell_length_b 4.6902
_cell_length_c 4.6902
_cell_angle_alpha 90.00
_cell_angle_beta 90.00
_cell_angle_gamma 90.00
_space_group_name_H-M_alt 'P 1'
_space_group_IT_number 1
loop_
_space_group_symop_operation_xyz
'x,y,z'
loop_
_atom_site_label
_atom_site_type_symbol
_atom_site_fract_x
_atom_site_fract_y
_atom_site_fract_z
_atom_site_occupancy
Ca1 Ca 0.0000 0.0000 0.0000 1
Ta1 Ta 0.0000 0.0000 0.5000 1
Ta2 Ta 0.0000 0.5000 0.0000 1
Ta3 Ta 0.5000 0.0000 0.0000 1
Ta4 Ta 0.5000 0.5000 0.5000 1
```